## Co2ReAs (PBE)

Data for a relaxed Co2ReAs crystal.

Cell lengths 4.4338, 4.4338, 4.3374 Å; angles 80.25, 80.25, 37.49 degrees
Closest atoms and distances in Å follow each position.
Fractional positions:
As (0.2500, 0.2500, 0.2500)  6 Co 2.53-2.63, 4 Re 2.59
Co (0.0020, 0.0020, 0.9925)  3 Re 2.53-2.59, 3 As 2.53-2.63, 4 Co 2.55-2.64
Co (0.4980, 0.4980, 0.5075)  3 Re 2.53-2.59, 3 As 2.53-2.63, 4 Co 2.55-2.64
Re (0.7500, 0.7500, 0.7500)  6 Co 2.53-2.59, 4 As 2.59

Magnetic moment, Bohr magnetons per cell: 0.1
Space-group type: C2/m
Total energy, eV/atom: -7.5729